The following is a DFT calculation (PBE with a Hubbard U) of crystalline CsRbMnF4 at its relaxed geometry.

The structure in extended XYZ format:
```
7
Lattice="-2.177 2.177 7.264 2.177 -2.177 7.264 2.177 2.177 -7.264" Properties=species:S:1:pos:R:3 pbc="T T T"
Cs 0.000 0.000 0.000
Rb 0.000 0.000 4.267
Mn 0.000 0.000 9.465
F 2.177 0.000 2.243
F 0.000 0.000 7.312
F 0.000 2.177 2.243
F 0.000 0.000 11.593
```

Summary:
Energy in eV per atom: -5.14
Magnetization in Bohr magnetons per cell: 5.0